A geometry-optimized NaV2Bi3O10 structure, computed with PBE+U.

Cell and atoms, written as extended XYZ:
```
16
Lattice="-0.096 -0.814 5.620 -1.456 -5.975 -3.540 7.145 0.864 0.862" Properties=species:S:1:pos:R:3 pbc="T T T"
Na 1.998 -5.389 -2.438
V 2.204 -2.182 3.428
V -0.400 -3.791 -0.294
Bi 5.453 -5.729 2.861
Bi 3.211 -3.805 0.627
Bi 5.638 -1.177 3.322
O 5.516 -3.655 1.624
O 2.089 -3.766 2.709
O 6.188 -2.990 -1.038
O 4.013 -5.146 -1.097
O 2.770 -1.451 -0.550
O -0.362 -2.112 0.282
O 0.613 -1.377 3.355
O 1.175 -4.525 -0.149
O 3.449 -1.367 2.496
O 3.662 -5.844 1.581
```

Values from the calculation:
total DFT energy (no corrections): -6.48 eV/atom
distance to the lowest polymorph of the same formula: 0.0089 eV per atom